1.
Density functional theory data (PBE) for crystalline GdAlCuPd at its relaxed geometry.

```
data_GdAlCuPd
_space_group_name_H-M_alt 'P 1'
_space_group_IT_number 1
_cell_length_a 4.681
_cell_length_b 4.681
_cell_length_c 4.681
_cell_angle_alpha 60.00
_cell_angle_beta 60.00
_cell_angle_gamma 60.00
loop_
_space_group_symop_operation_xyz
'x,y,z'
loop_
_atom_site_label
_atom_site_fract_x
_atom_site_fract_y
_atom_site_fract_z
Gd1 0.250 0.250 0.250
Al1 0.750 0.750 0.750
Cu1 0.500 0.500 0.500
Pd1 0.000 0.000 0.000
```

Computed properties:
Energy (eV per cell): -29.2
Symmetry: F-43m (216)
DFT formation energy (eV per atom): -0.5243

2.
Density functional theory data (PBE) for crystalline PmGdAlCu at its relaxed geometry.

```
data_PmGdAlCu
_space_group_name_H-M_alt 'P 1'
_space_group_IT_number 1
_cell_length_a 5.136
_cell_length_b 5.136
_cell_length_c 5.136
_cell_angle_alpha 60.00
_cell_angle_beta 60.00
_cell_angle_gamma 60.00
loop_
_space_group_symop_operation_xyz
'x,y,z'
loop_
_atom_site_label
_atom_site_fract_x
_atom_site_fract_y
_atom_site_fract_z
Pm1 0.000 0.000 0.000
Gd1 0.500 0.500 0.500
Cu1 0.750 0.750 0.750
Al1 0.250 0.250 0.250
```

Computed properties:
Energy (eV per cell): -27.7
Symmetry: F-43m (216)
DFT formation energy (eV per atom): -0.2484